Computed, not measured: a geometry-optimized YBe2In structure at the PBE level of DFT.

It has space group Amm2 (No. 38), with a = 3.8775 Å, b = 3.9808 Å, c = 9.2452 Å, α = 90.00°, β = 90.00° and γ = 90.00°. Symmetry generates all atoms from Y at (0.0000, 0.0000, 0.0000), Be at (0.0000, 0.0000, 0.3007), Be at (0.5000, 0.0000, 0.3971) and In at (0.5000, 0.0000, 0.7134).

Computed, not measured: a geometry-optimized LaPu2Mg structure at the PBE level of DFT.

It has space group P4/mmm (No. 123), with a = 4.6785 Å, b = 4.6785 Å, c = 5.2306 Å, α = 90.00°, β = 90.00° and γ = 90.00°. Symmetry generates all atoms from La at (0.0000, 0.0000, 0.0000), Pu at (0.0000, 0.5000, 0.5000) and Mg at (0.5000, 0.5000, 0.0000).

Computed, not measured: a geometry-optimized ErScHgPt structure at the PBE level of DFT.

It has space group F-43m (No. 216), with a = 6.9843 Å, b = 6.9843 Å, c = 6.9843 Å, α = 90.00°, β = 90.00° and γ = 90.00°. Symmetry generates all atoms from Er at (0.0000, 0.0000, 0.0000), Sc at (0.0000, 0.0000, 0.5000), Hg at (0.2500, 0.2500, 0.2500) and Pt at (0.2500, 0.2500, 0.7500).

Its energy above the most stable polymorph in this dataset is 5.0 kJ per mole of atoms.

Computed, not measured: a geometry-optimized Pm4Pr3Y2 structure at the PBE level of DFT.

It has space group P-1 (No. 2), with a = 6.3224 Å, b = 6.3275 Å, c = 9.6732 Å, α = 70.96°, β = 71.11° and γ = 60.10°. Symmetry generates all atoms from Pm at (0.1107, 0.4457, 0.1667), Pm at (0.3333, 0.3325, 0.4999), Pr at (0.0000, 0.0000, 0.5000), Pr at (0.4453, 0.7781, 0.1659) and Y at (0.2218, 0.8886, 0.8343).

Its energy above the most stable polymorph in this dataset is 0.0 kJ per mole of atoms.

Computed, not measured: a geometry-optimized AcCuGe2Ir structure at the PBE level of DFT.

It has space group I-4m2 (No. 119), with a = 4.3408 Å, b = 4.3408 Å, c = 10.6148 Å, α = 90.00°, β = 90.00° and γ = 90.00°. Symmetry generates all atoms from Ac at (0.0000, 0.0000, 0.0000), Cu at (0.0000, 0.5000, 0.7500), Ge at (0.0000, 0.0000, 0.3689) and Ir at (0.0000, 0.5000, 0.2500).

Computed, not measured: a geometry-optimized BaCaPtAu structure at the PBE level of DFT.

It has space group F-43m (No. 216), with a = 7.5414 Å, b = 7.5414 Å, c = 7.5414 Å, α = 90.00°, β = 90.00° and γ = 90.00°. Symmetry generates all atoms from Ba at (0.0000, 0.0000, 0.0000), Ca at (0.0000, 0.0000, 0.5000), Pt at (0.2500, 0.2500, 0.7500) and Au at (0.2500, 0.2500, 0.2500).

Final energy
In order: -33.52; -34.49; -81.81; -46.15; -57.94; -63.87
Unit: eV/cell
Ρ
In order: 5.16; 9.45; 11.85; 6.31; 10.43; 8.82
Unit: g cm⁻³
Energy relative to the elements
In order: -0.026; 0.174; -0.804; 0.013; -0.534; -0.681
Unit: eV per atom